Entry 1:
# BaPdIO2

A relaxed structure of BaPdIO2 (PBE-GGA, the Alexandria database).

Cell: 4.433 4.433 7.681 Å, 90.00 90.00 90.00°
Element x y z (fractional)
Ba 0.000 0.000 0.000
Pd 0.500 0.500 0.500
I 0.000 0.000 0.500
O 0.000 0.500 0.000
O 0.500 0.000 0.000

The relative energy among the computed polymorphs is 484 meV per atom. For the uncorrected energy, the calculation gives -3.879 eV/atom. Its size of the total moment is 0.64 μB/cell. As for the formation energy without anion corrections: -0.162 eV per atom. As for the symmetry: No. 123.

=====

Entry 2:
# AcTl2Ge

A relaxed structure of AcTl2Ge (PBE-GGA, the Alexandria database).

Cell: 4.016 4.016 7.235 Å, 90.00 90.00 90.00°
Element x y z (fractional)
Ac 0.000 0.000 0.000
Tl 0.500 0.500 0.293
Tl 0.500 0.500 0.707
Ge 0.000 0.000 0.500

The relative energy among the computed polymorphs is 200 meV per atom. For the uncorrected energy, the calculation gives -3.466 eV/atom. Its size of the total moment is 0.00 μB/cell. The energy of formation from the pure elements comes out at -101 meV per atom. As for the symmetry: No. 123.

=====

Entry 3:
# KTl5Hg2

A relaxed structure of KTl5Hg2 (PBE-GGA, the Alexandria database).

Cell: 9.216 9.216 9.216 Å, 123.96 123.96 83.26°
Element x y z (fractional)
K 0.250 0.250 0.000
K 0.750 0.750 0.000
Tl 0.000 0.000 0.000
Tl 0.005 0.505 0.225
Tl 0.220 0.995 0.500
Tl 0.280 0.780 0.775
Tl 0.495 0.720 0.500
Tl 0.500 0.500 0.000
Tl 0.505 0.280 0.500
Tl 0.720 0.220 0.225
Tl 0.780 0.005 0.500
Tl 0.995 0.495 0.775
Hg 0.159 0.341 0.500
Hg 0.341 0.841 0.182
Hg 0.659 0.159 0.818
Hg 0.841 0.659 0.500

The relative energy among the computed polymorphs is 54 meV per atom. For the uncorrected energy, the calculation gives -1.700 eV/atom. Its size of the total moment is 0.00 μB/cell. The energy of formation from the pure elements comes out at -9 meV per atom. As for the symmetry: No. 140.

=====

Entry 4:
# Tb5Y8Zr

A relaxed structure of Tb5Y8Zr (PBE-GGA, the Alexandria database).

Cell: 8.432 8.432 9.293 Å, 123.29 123.29 71.43°
Element x y z (fractional)
Tb 0.000 0.000 0.000
Tb 0.226 0.774 0.290
Tb 0.226 0.774 0.710
Tb 0.393 0.252 0.624
Tb 0.748 0.607 0.376
Y 0.035 0.528 0.782
Y 0.163 0.411 0.287
Y 0.393 0.251 0.018
Y 0.472 0.965 0.218
Y 0.589 0.837 0.713
Y 0.749 0.607 0.982
Y 0.871 0.127 0.684
Y 0.873 0.129 0.316
Zr 0.611 0.389 0.500

For the uncorrected energy, the calculation gives -5.766 eV/atom. Its size of the total moment is 0.00 μB/cell. The energy of formation from the pure elements comes out at 192 meV per atom. As for the symmetry: No. 5.

=====

- size of the total moment of number 2 (AcTl2Ge)?
  0.00 μB/cell

=====

- Which value of uncorrected energy does entry 3 give?
  -1.700 eV/atom

=====

- What is the size of the total moment in the first record?
  0.64 μB/cell